[1]
# SCAN NaSr3Te, single point on PBEsol structure
data_NaSr3Te
_chemical_formula_sum 'Na1 Sr3 Te1'
_space_group_name_H-M_alt 'P 1'
_space_group_IT_number 1
_cell_length_a 6.347
_cell_length_b 6.347
_cell_length_c 6.347
_cell_angle_alpha 90.00
_cell_angle_beta 90.00
_cell_angle_gamma 90.00
loop_
_space_group_symop_operation_xyz
'x,y,z'
loop_
_atom_site_label
_atom_site_fract_x
_atom_site_fract_y
_atom_site_fract_z
Na1 0.000 0.000 0.000
Sr1 0.000 0.500 0.500
Sr2 0.500 0.000 0.500
Sr3 0.500 0.500 0.000
Te1 0.500 0.500 0.500
# Calculated volume   255.71 Å³ per cell
# DOS(E_F)   1.00 states/eV/atom
# E_form (uncorrected)   -2.6 eV per formula unit

---

[2]
# SCAN Li3TaW, single point on PBEsol structure
data_Li3TaW
_chemical_formula_sum 'Li3 Ta1 W1'
_space_group_name_H-M_alt 'P 1'
_space_group_IT_number 1
_cell_length_a 4.365
_cell_length_b 4.365
_cell_length_c 4.365
_cell_angle_alpha 90.00
_cell_angle_beta 90.00
_cell_angle_gamma 90.00
loop_
_space_group_symop_operation_xyz
'x,y,z'
loop_
_atom_site_label
_atom_site_fract_x
_atom_site_fract_y
_atom_site_fract_z
Li1 0.000 0.000 0.500
Li2 0.000 0.500 0.000
Li3 0.500 0.000 0.000
Ta1 0.500 0.500 0.500
W1 0.000 0.000 0.000
# Calculated volume   83.19 Å³ per cell
# DOS(E_F)   0.34 states/eV/atom
# E_form   10.34 eV per formula unit

---

[3]
# SCAN LiAgBr2, single point on PBEsol structure
data_LiAgBr2
_chemical_formula_sum 'Li1 Ag1 Br2'
_space_group_name_H-M_alt 'P 1'
_space_group_IT_number 1
_cell_length_a 3.959
_cell_length_b 3.959
_cell_length_c 5.605
_cell_angle_alpha 90.00
_cell_angle_beta 90.00
_cell_angle_gamma 90.00
loop_
_space_group_symop_operation_xyz
'x,y,z'
loop_
_atom_site_label
_atom_site_fract_x
_atom_site_fract_y
_atom_site_fract_z
Li1 0.000 0.000 0.000
Ag1 0.500 0.500 0.500
Br1 0.000 0.000 0.499
Br2 0.500 0.500 0.000
# Calculated volume   87.86 Å³ per cell
# DOS(E_F)   0.00 states/eV/atom
# E_form (uncorrected)   -4.1 eV per formula unit

---

[4]
# SCAN LiCaZr2, single point on PBEsol structure
data_LiCaZr2
_chemical_formula_sum 'Li1 Ca1 Zr2'
_space_group_name_H-M_alt 'P 1'
_space_group_IT_number 1
_cell_length_a 3.199
_cell_length_b 5.070
_cell_length_c 5.874
_cell_angle_alpha 90.00
_cell_angle_beta 90.00
_cell_angle_gamma 90.00
loop_
_space_group_symop_operation_xyz
'x,y,z'
loop_
_atom_site_label
_atom_site_fract_x
_atom_site_fract_y
_atom_site_fract_z
Li1 0.000 0.000 0.000
Ca1 0.500 0.500 0.000
Zr1 0.000 0.500 0.500
Zr2 0.500 0.000 0.500
# Calculated volume   95.27 Å³ per cell
# DOS(E_F)   0.64 states/eV/atom
# E_form   1.34 eV per formula unit

---

Number 1: magnetization 0.00 μB/f.u., E_tot -0.8152 Ha/atom. Number 2: magnetization 1.81 μB/f.u., E_tot -0.9783 Ha/atom. Number 3: magnetization 0.00 μB/f.u., E_tot -0.7053 Ha/atom. Number 4: magnetization 0.00 μB/f.u., E_tot -0.6625 Ha/atom.